1.
Computed, not measured: Ta3Cr8Si after structural relaxation at the PBE-GGA level of DFT.

Electronic total energy, eV/f.u.: -119.1
Theoretical density, g cm⁻³: 10.15
Formation energy from raw total energies, eV per atom: -0.096
Space-group type: P3m1 (156)
N(E_F), states/eV/atom: 0.539
Calculated volume, Å³/atom: 13.45

Geometry as POSCAR:
```
Ta3Cr8Si
1.0
2.4225 -4.1959 0.0000
2.4225 4.1959 0.0000
0.0000 0.0000 7.9390
Cr Ta Si
8 3 1
Direct
0.3333 0.6667 0.4991
0.3333 0.6667 0.0014
0.9945 0.4973 0.7467
0.1621 0.3242 0.2533
0.1621 0.8379 0.2533
0.5027 0.4973 0.7467
0.6758 0.8379 0.2533
0.5027 0.0055 0.7467
0.6667 0.3333 0.4425
0.0000 0.0000 0.9330
0.6667 0.3333 0.0602
0.0000 0.0000 0.5640
```

2.
Computed, not measured: TaCrSi after structural relaxation at the PBE-GGA level of DFT.

Electronic total energy, eV/f.u.: -27.1
Theoretical density, g cm⁻³: 10.06
Formation energy from raw total energies, eV per atom: -0.054
Space-group type: Fmm2 (42)
N(E_F), states/eV/atom: 0.962
Calculated volume, Å³/atom: 14.36

Geometry as POSCAR:
```
TaCrSi
1.0
6.2825 -0.0086 0.0068
5.5034 2.6451 0.0212
0.7791 -0.6089 2.5830
Ta Cr Si
1 1 1
Direct
0.6692 0.6692 0.3308
0.9892 0.9892 0.0108
0.3416 0.3416 0.6584
```

3.
Computed, not measured: Ta2CrSi after structural relaxation at the PBE-GGA level of DFT.

Electronic total energy, eV/f.u.: -39.6
Theoretical density, g cm⁻³: 11.86
Formation energy from raw total energies, eV per atom: -0.223
Space-group type: Amm2 (38)
N(E_F), states/eV/atom: 0.522
Calculated volume, Å³/atom: 15.47

Geometry as POSCAR:
```
Ta2CrSi
1.0
-3.6523 -0.8848 1.4771
1.3279 -2.0909 2.0308
1.1411 2.4256 4.2746
Ta Si Cr
2 1 1
Direct
0.5000 0.2671 0.3407
0.0000 0.9756 0.9241
0.5000 0.5470 0.7813
0.0000 0.7102 0.4538
```

Copy entry 1 word for word.
Computed, not measured: Ta3Cr8Si after structural relaxation at the PBE-GGA level of DFT.

Electronic total energy, eV/f.u.: -119.1
Theoretical density, g cm⁻³: 10.15
Formation energy from raw total energies, eV per atom: -0.096
Space-group type: P3m1 (156)
N(E_F), states/eV/atom: 0.539
Calculated volume, Å³/atom: 13.45

Geometry as POSCAR:
```
Ta3Cr8Si
1.0
2.4225 -4.1959 0.0000
2.4225 4.1959 0.0000
0.0000 0.0000 7.9390
Cr Ta Si
8 3 1
Direct
0.3333 0.6667 0.4991
0.3333 0.6667 0.0014
0.9945 0.4973 0.7467
0.1621 0.3242 0.2533
0.1621 0.8379 0.2533
0.5027 0.4973 0.7467
0.6758 0.8379 0.2533
0.5027 0.0055 0.7467
0.6667 0.3333 0.4425
0.0000 0.0000 0.9330
0.6667 0.3333 0.0602
0.0000 0.0000 0.5640
```